# 1
A plane-wave DFT calculation with meta-GGA SCAN was carried out for K2SrZr at its PBEsol-relaxed geometry.

Results
The calculation puts the uncorrected energy at -132.55 eV for the cell shown. For the excess energy over the best structure of this formula in the dataset, the calculation gives 91 meV per atom. The energy of formation from the pure elements comes out at 0.839 eV per atom. The calculated density comes out at 2.48 g/cm3.

Cell: 5.0923 5.0923 13.2592 Å, 90.00 90.00 90.00°
Space group I4/mmm (No. 139)
Unique sites:
K 0.0000 0.5000 0.2500 (multiplicity 4)
Sr 0.0000 0.0000 0.0000 (multiplicity 2)
Zr 0.0000 0.0000 0.5000 (multiplicity 2)



# 2
A plane-wave DFT calculation with meta-GGA SCAN was carried out for K2SrZr at its PBEsol-relaxed geometry.

Results
The calculation puts the uncorrected energy at -66.64 eV for the cell shown. For the excess energy over the best structure of this formula in the dataset, the calculation gives 0 meV per atom. The energy of formation from the pure elements comes out at 0.748 eV per atom. The calculated density comes out at 2.53 g/cm3.

Cell: 3.5433 3.5433 13.4384 Å, 90.00 90.00 90.00°
Space group P4/mmm (No. 123)
Unique sites:
K 0.0000 0.0000 0.2218 (multiplicity 2)
Sr 0.5000 0.5000 0.5000 (multiplicity 1)
Zr 0.5000 0.5000 0.0000 (multiplicity 1)



# 3
A plane-wave DFT calculation with meta-GGA SCAN was carried out for KSr2Zr at its PBEsol-relaxed geometry.

Results
The calculation puts the uncorrected energy at -162.38 eV for the cell shown. For the excess energy over the best structure of this formula in the dataset, the calculation gives 92 meV per atom. The energy of formation from the pure elements comes out at 0.597 eV per atom. The calculated density comes out at 3.15 g/cm3.

Cell: 4.1705 5.8731 13.1720 Å, 90.00 90.00 90.00°
Space group Cmm2 (No. 35)
Unique sites:
K 0.0000 0.0000 0.0000 (multiplicity 2)
Sr 0.0000 0.0000 0.4453 (multiplicity 2)
Sr 0.0000 0.5000 0.7101 (multiplicity 2)
Zr 0.0000 0.5000 0.2401 (multiplicity 2)



# 4
A plane-wave DFT calculation with meta-GGA SCAN was carried out for K4SrZr at its PBEsol-relaxed geometry.

Results
The calculation puts the uncorrected energy at -327.75 eV for the cell shown. The energy of formation from the pure elements comes out at 0.725 eV per atom. The calculated density comes out at 1.91 g/cm3.

Cell: 10.5224 10.5224 10.5224 Å, 90.00 90.00 90.00°
Space group F-43m (No. 216)
Unique sites:
K 0.1237 0.1237 0.1237 (multiplicity 16)
Sr 0.0000 0.0000 0.5000 (multiplicity 4)
Zr 0.2500 0.2500 0.7500 (multiplicity 4)



# 5
A plane-wave DFT calculation with meta-GGA SCAN was carried out for KSr2Zr at its PBEsol-relaxed geometry.

Results
The calculation puts the uncorrected energy at -80.97 eV for the cell shown. For the excess energy over the best structure of this formula in the dataset, the calculation gives 147 meV per atom. The energy of formation from the pure elements comes out at 0.652 eV per atom. The calculated density comes out at 3.09 g/cm3.

Cell: 3.6837 5.8321 7.6505 Å, 90.00 90.00 90.00°
Space group Pmm2 (No. 25)
Unique sites:
K 0.0000 0.0000 0.0000 (multiplicity 1)
Sr 0.0000 0.0000 0.5451 (multiplicity 1)
Sr 0.5000 0.5000 0.2666 (multiplicity 1)
Zr 0.5000 0.5000 0.7289 (multiplicity 1)



# 6
A plane-wave DFT calculation with meta-GGA SCAN was carried out for KSr2Zr at its PBEsol-relaxed geometry.

Results
The calculation puts the uncorrected energy at -244.67 eV for the cell shown. For the excess energy over the best structure of this formula in the dataset, the calculation gives 0 meV per atom. The energy of formation from the pure elements comes out at 0.505 eV per atom. The calculated density comes out at 3.16 g/cm3.

Cell: 3.7519 3.7519 39.4937 Å, 90.00 90.00 120.00°
Space group R-3m (No. 166, hexagonal axes)
Unique sites:
K 0.0000 0.0000 0.0000 (multiplicity 3)
Sr 0.0000 0.0000 0.2356 (multiplicity 6)
Zr 0.0000 0.0000 0.5000 (multiplicity 3)